# 1
# HfScFeRu PBE optimized geometry
# Calculated density in g/cm3: 9.8
# Uncorrected energy in eV per atom: -8.965
# Energy relative to the elements in eV/atom: -0.459
data_HfScFeRu
_chemical_formula_sum 'Hf1 Sc1 Fe1 Ru1'
_symmetry_space_group_name_H-M 'P 4 m m'
_symmetry_Int_Tables_number 99
_symmetry_space_group_name_Hall 'P 4 -2'
_cell_length_a 3.184
_cell_length_b 3.184
_cell_length_c 6.354
_cell_angle_alpha 90.00
_cell_angle_beta 90.00
_cell_angle_gamma 90.00
loop_
_atom_site_label
_atom_site_fract_x
_atom_site_fract_y
_atom_site_fract_z
Hf1 0.000 0.000 0.000
Sc1 0.000 0.000 0.488
Fe1 0.500 0.500 0.235
Ru1 0.500 0.500 0.748

=====

# 2
# Cr3PtS PBE optimized geometry
# Calculated density in g/cm3: 8.5
# Energy above the lowest structure with this stoichiometry in meV/atom: 0
# Uncorrected energy in eV per atom: -7.486
# E_form (uncorrected) in eV per formula unit: 1.6
data_Cr3PtS
_chemical_formula_sum 'Cr3 Pt1 S1'
_symmetry_space_group_name_H-M 'P m -3 m'
_symmetry_Int_Tables_number 221
_symmetry_space_group_name_Hall '-P 4 2 3'
_cell_length_a 4.215
_cell_length_b 4.215
_cell_length_c 4.215
_cell_angle_alpha 90.00
_cell_angle_beta 90.00
_cell_angle_gamma 90.00
loop_
_atom_site_label
_atom_site_fract_x
_atom_site_fract_y
_atom_site_fract_z
Cr1 0.000 0.000 0.500
Pt1 0.500 0.500 0.500
S1 0.000 0.000 0.000

=====

# 3
# La6AsP2I3 PBE optimized geometry
# Calculated density in g/cm3: 5.9
# Uncorrected energy in eV per atom: -5.584
# E_form (uncorrected) in eV per formula unit: -17.3
data_La6AsP2I3
_chemical_formula_sum 'La12 As2 P4 I6'
_symmetry_space_group_name_H-M 'C 1 2/m 1'
_symmetry_Int_Tables_number 12
_symmetry_space_group_name_Hall '-C 2y'
_cell_length_a 7.532
_cell_length_b 13.049
_cell_length_c 8.161
_cell_angle_alpha 90.00
_cell_angle_beta 107.91
_cell_angle_gamma 90.00
loop_
_atom_site_label
_atom_site_fract_x
_atom_site_fract_y
_atom_site_fract_z
La1 0.223 0.000 0.194
La2 0.236 0.329 0.195
As1 0.000 0.500 0.000
P1 0.000 0.167 0.000
I1 0.000 0.000 0.500
I2 0.000 0.335 0.500

=====

# 4
# K2Tl2HgPt PBE optimized geometry
# Calculated density in g/cm3: 7.1
# Uncorrected energy in eV per atom: -2.390
# Energy relative to the elements in eV/atom: -0.178
data_K2Tl2HgPt
_chemical_formula_sum 'K8 Tl8 Hg4 Pt4'
_symmetry_space_group_name_H-M 'I b a m'
_symmetry_Int_Tables_number 72
_symmetry_space_group_name_Hall '-I 2 2c'
_cell_length_a 7.828
_cell_length_b 14.857
_cell_length_c 7.089
_cell_angle_alpha 90.00
_cell_angle_beta 90.00
_cell_angle_gamma 90.00
loop_
_atom_site_label
_atom_site_fract_x
_atom_site_fract_y
_atom_site_fract_z
K1 0.244 0.158 0.000
Tl1 0.211 0.093 0.500
Hg1 0.000 0.500 0.250
Pt1 0.000 0.000 0.250

=====

# 5
# CaNiBi3 PBE optimized geometry
# Calculated density in g/cm3: 8.2
# Energy above the lowest structure with this stoichiometry in meV/atom: 0
# Uncorrected energy in eV per atom: -3.957
# Energy relative to the elements in eV/atom: -0.071
data_CaNiBi3
_chemical_formula_sum 'Ca1 Ni1 Bi3'
_symmetry_space_group_name_H-M 'P m -3 m'
_symmetry_Int_Tables_number 221
_symmetry_space_group_name_Hall '-P 4 2 3'
_cell_length_a 5.273
_cell_length_b 5.273
_cell_length_c 5.273
_cell_angle_alpha 90.00
_cell_angle_beta 90.00
_cell_angle_gamma 90.00
loop_
_atom_site_label
_atom_site_fract_x
_atom_site_fract_y
_atom_site_fract_z
Ca1 0.000 0.000 0.000
Ni1 0.500 0.500 0.500
Bi1 0.000 0.500 0.500

=====

# 6
# ZrTaMn2 PBE optimized geometry
# Calculated density in g/cm3: 9.9
# Uncorrected energy in eV per atom: -9.402
# Energy relative to the elements in eV/atom: 0.283
data_ZrTaMn2
_chemical_formula_sum 'Zr2 Ta2 Mn4'
_symmetry_space_group_name_H-M 'C 1 2/m 1'
_symmetry_Int_Tables_number 12
_symmetry_space_group_name_Hall '-C 2y'
_cell_length_a 8.047
_cell_length_b 3.078
_cell_length_c 5.332
_cell_angle_alpha 90.00
_cell_angle_beta 104.00
_cell_angle_gamma 90.00
loop_
_atom_site_label
_atom_site_fract_x
_atom_site_fract_y
_atom_site_fract_z
Zr1 0.000 0.000 0.000
Ta1 0.000 0.500 0.500
Mn1 0.243 0.000 0.716

=====

# 7
# Sm4BeSi3 PBE optimized geometry
# Calculated density in g/cm3: 6.2
# Uncorrected energy in eV per atom: -5.450
# E_form (uncorrected) in eV per formula unit: -4.7
data_Sm4BeSi3
_chemical_formula_sum 'Sm4 Be1 Si3'
_symmetry_space_group_name_H-M 'P m m 2'
_symmetry_Int_Tables_number 25
_symmetry_space_group_name_Hall 'P 2 -2'
_cell_length_a 3.911
_cell_length_b 4.330
_cell_length_c 10.900
_cell_angle_alpha 90.00
_cell_angle_beta 90.00
_cell_angle_gamma 90.00
loop_
_atom_site_label
_atom_site_fract_x
_atom_site_fract_y
_atom_site_fract_z
Sm1 0.000 0.000 0.000
Sm2 0.000 0.500 0.497
Sm3 0.500 0.000 0.715
Sm4 0.500 0.500 0.217
Be1 0.000 0.000 0.303
Si1 0.000 0.500 0.784
Si2 0.500 0.000 0.420
Si3 0.500 0.500 0.926

=====

# 8
# Cd6Pd8Au PBE optimized geometry
# Calculated density in g/cm3: 10.3
# Uncorrected energy in eV per atom: -3.535
# Energy relative to the elements in eV/atom: -0.181
data_Cd6Pd8Au
_chemical_formula_sum 'Cd18 Pd24 Au3'
_symmetry_space_group_name_H-M 'R -3'
_symmetry_Int_Tables_number 148
_symmetry_space_group_name_Hall '-R 3'
_cell_length_a 7.7858
_cell_length_b 7.7858
_cell_length_c 15.9014
_cell_angle_alpha 90.00
_cell_angle_beta 90.00
_cell_angle_gamma 120.00
loop_
_atom_site_label
_atom_site_fract_x
_atom_site_fract_y
_atom_site_fract_z
Cd1 0.0209 0.7628 0.3972
Pd1 0.0000 0.0000 0.2569
Pd2 0.0245 0.7463 0.8900
Au1 0.0000 0.0000 0.0000

=====

# 9
# PaGaCu2 PBE optimized geometry
# Calculated density in g/cm3: 10.8
# Uncorrected energy in eV per atom: -5.206
# Energy relative to the elements in eV/atom: -0.027
data_PaGaCu2
_chemical_formula_sum 'Pa1 Ga1 Cu2'
_symmetry_space_group_name_H-M 'P 4/m m m'
_symmetry_Int_Tables_number 123
_symmetry_space_group_name_Hall '-P 4 2'
_cell_length_a 3.063
_cell_length_b 3.063
_cell_length_c 7.020
_cell_angle_alpha 90.00
_cell_angle_beta 90.00
_cell_angle_gamma 90.00
loop_
_atom_site_label
_atom_site_fract_x
_atom_site_fract_y
_atom_site_fract_z
Pa1 0.000 0.000 0.000
Ga1 0.000 0.000 0.500
Cu1 0.500 0.500 0.292

=====

# 10
# Zn4FeCu10Ge5S20 PBE optimized geometry
# Calculated density in g/cm3: 4.3
# Uncorrected energy in eV per atom: -4.431
# E_form (uncorrected) in eV per formula unit: -17.1
data_Zn4FeCu10Ge5S20
_chemical_formula_sum 'Zn8 Fe2 Cu20 Ge10 S40'
_symmetry_space_group_name_H-M 'C 1 2 1'
_symmetry_Int_Tables_number 5
_symmetry_space_group_name_Hall 'C 2y'
_cell_length_a 11.944
_cell_length_b 5.335
_cell_length_c 23.866
_cell_angle_alpha 90.00
_cell_angle_beta 90.05
_cell_angle_gamma 90.00
loop_
_atom_site_label
_atom_site_fract_x
_atom_site_fract_y
_atom_site_fract_z
Zn1 0.100 0.000 0.100
Zn2 0.200 0.500 0.700
Fe1 0.000 0.501 0.500
Cu1 0.000 0.000 0.250
Cu2 0.099 0.501 0.351
Cu3 0.100 0.500 0.850
Cu4 0.200 0.000 0.950
Cu5 0.200 0.997 0.451
Ge1 0.000 0.500 0.000
Ge2 0.100 0.000 0.599
Ge3 0.200 0.500 0.200
S1 0.046 0.243 0.674
S2 0.049 0.257 0.177
S3 0.050 0.751 0.425
S4 0.054 0.742 0.926
S5 0.146 0.742 0.275
S6 0.149 0.757 0.777
S7 0.150 0.251 0.525
S8 0.151 0.257 0.023
S9 0.246 0.242 0.874
S10 0.249 0.256 0.378

=====

# 11
# LaN2OF PBE optimized geometry
# Calculated density in g/cm3: 5.4
# Uncorrected energy in eV per atom: -5.270
# E_form (uncorrected) in eV per formula unit: 2.1
data_LaN2OF
_chemical_formula_sum 'La1 N2 O1 F1'
_symmetry_space_group_name_H-M 'P 4/m m m'
_symmetry_Int_Tables_number 123
_symmetry_space_group_name_Hall '-P 4 2'
_cell_length_a 3.626
_cell_length_b 3.626
_cell_length_c 4.709
_cell_angle_alpha 90.00
_cell_angle_beta 90.00
_cell_angle_gamma 90.00
loop_
_atom_site_label
_atom_site_fract_x
_atom_site_fract_y
_atom_site_fract_z
La1 0.000 0.000 0.000
N1 0.000 0.500 0.500
O1 0.500 0.500 0.000
F1 0.500 0.500 0.500